A plane-wave DFT calculation with PBE-GGA was carried out for a relaxed structure of Na2Cu2TeSe.

```
Na2Cu2TeSe
1.0
4.2841 0.0000 0.0000
-2.1420 3.7101 0.0000
0.0000 0.0000 8.4267
Na Cu Te Se
2 2 1 1
Direct
0.0000 0.0000 0.2394 Na
0.0000 0.0000 0.7606 Na
0.3333 0.6667 0.5000 Cu
0.6667 0.3333 0.0000 Cu
0.6667 0.3333 0.5000 Te
0.3333 0.6667 0.0000 Se
```

Values from the calculation:
**SG**: P-6m2 (187)
**Energy**: -19.94 eV per cell
**V**: 22.32 A^3/atom
**ρ**: 4.7 Mg/m³


A plane-wave DFT calculation with PBE-GGA was carried out for a relaxed structure of Li2ErCuP2.

```
Li2ErCuP2
1.0
4.0505 0.0000 0.0000
-2.0253 3.5078 0.0000
0.0000 0.0000 6.3743
Li Er Cu P
2 1 1 2
Direct
0.3333 0.6667 0.1464 Li
0.6667 0.3333 0.8536 Li
0.0000 0.0000 0.5000 Er
0.0000 0.0000 0.0000 Cu
0.3333 0.6667 0.7539 P
0.6667 0.3333 0.2461 P
```

Values from the calculation:
**Total magnetic moment**: 0.00 μB per cell
**SG**: P-3m1 (164)
**Energy**: -27.52 eV per cell
**V**: 15.09 A^3/atom
**ρ**: 5.6 Mg/m³


A plane-wave DFT calculation with PBE-GGA was carried out for a relaxed structure of TlAgSeS.

```
TlAgSeS
1.0
-3.0281 3.0801 6.0592
3.0281 -3.0801 6.0592
3.0281 3.0801 -6.0592
Tl Ag Se S
2 2 2 2
Direct
0.1257 0.3757 0.7500 Tl
0.3743 0.1243 0.2500 Tl
0.6395 0.8895 0.7500 Ag
0.8605 0.6105 0.2500 Ag
0.2500 0.9806 0.7306 Se
0.7500 0.5194 0.7694 Se
0.0014 0.2500 0.2514 S
0.4986 0.7500 0.2486 S
```

Values from the calculation:
**SG**: I2_12_12_1 (24)
**Energy**: -27.00 eV per cell
**V**: 28.26 A^3/atom
**ρ**: 6.2 Mg/m³


A plane-wave DFT calculation with PBE-GGA was carried out for a relaxed structure of YNb2Tc.

```
YNb2Tc
1.0
0.0000 3.3594 3.3594
3.3594 0.0000 3.3594
3.3594 3.3594 0.0000
Y Nb Tc
1 2 1
Direct
0.0000 0.0000 0.0000 Y
0.2500 0.2500 0.2500 Nb
0.5000 0.5000 0.5000 Nb
0.7500 0.7500 0.7500 Tc
```

Values from the calculation:
**Total magnetic moment**: 0.01 μB per cell
**SG**: F-43m (216)
**Energy**: -36.17 eV per cell
**V**: 18.96 A^3/atom
**ρ**: 8.2 Mg/m³


A plane-wave DFT calculation with PBE-GGA was carried out for a relaxed structure of YNbCuSb.

```
YNbCuSb
1.0
0.0000 3.4248 3.4248
3.4248 0.0000 3.4248
3.4248 3.4248 0.0000
Y Nb Cu Sb
1 1 1 1
Direct
0.0000 0.0000 0.0000 Y
0.2500 0.2500 0.2500 Nb
0.7500 0.7500 0.7500 Cu
0.5000 0.5000 0.5000 Sb
```

Values from the calculation:
**Polymorph energy (0 for the lowest one)**: 0.0 meV/atom
**Total magnetic moment**: 0.65 μB per cell
**SG**: F-43m (216)
**Energy**: -23.50 eV per cell
**V**: 20.09 A^3/atom
**ρ**: 7.6 Mg/m³


A plane-wave DFT calculation with PBE-GGA was carried out for a relaxed structure of Cu2Ag3.

```
Cu2Ag3
1.0
5.8580 -1.4288 0.0000
5.8580 1.4288 0.0000
-1.6131 0.0000 9.3042
Cu Ag
4 6
Direct
0.0000 0.0000 0.0000 Cu
0.1908 0.1908 0.5809 Cu
0.4010 0.4010 0.1798 Cu
0.5066 0.5066 0.4968 Cu
0.0879 0.0879 0.2967 Ag
0.3105 0.3105 0.8940 Ag
0.5991 0.5991 0.7878 Ag
0.6968 0.6968 0.0916 Ag
0.8089 0.8089 0.3836 Ag
0.8923 0.8923 0.6766 Ag
```

Values from the calculation:
**Polymorph energy (0 for the lowest one)**: 55.6 meV/atom
**SG**: Cm (8)
**Energy**: -30.93 eV per cell
**V**: 15.57 A^3/atom
**ρ**: 9.6 Mg/m³


A plane-wave DFT calculation with PBE-GGA was carried out for a relaxed structure of SnTePtO.

```
SnTePtO
1.0
3.7732 0.0000 0.0000
0.0000 3.7732 0.0000
0.0000 0.0000 12.4006
Sn Te Pt O
2 2 2 2
Direct
0.2500 0.2500 0.1009 Sn
0.7500 0.7500 0.8991 Sn
0.2500 0.2500 0.6573 Te
0.7500 0.7500 0.3427 Te
0.2500 0.7500 0.5000 Pt
0.7500 0.2500 0.5000 Pt
0.2500 0.2500 0.9338 O
0.7500 0.7500 0.0662 O
```

Values from the calculation:
**Polymorph energy (0 for the lowest one)**: 135.7 meV/atom
**Total magnetic moment**: 0.01 μB per cell
**SG**: P4/nmm (129)
**Energy**: -40.27 eV per cell
**V**: 22.07 A^3/atom
**ρ**: 8.6 Mg/m³


A plane-wave DFT calculation with PBE-GGA was carried out for a relaxed structure of NaNdHgSe3.

```
NaNdHgSe3
1.0
9.4444 -2.1040 0.0000
9.4444 2.1040 0.0000
-2.2653 0.0000 8.5227
Na Nd Hg Se
2 2 2 6
Direct
0.1229 0.1229 0.0870 Na
0.8771 0.8771 0.9130 Na
0.1773 0.1773 0.6013 Nd
0.8227 0.8227 0.3987 Nd
0.4673 0.4673 0.2747 Hg
0.5327 0.5327 0.7253 Hg
0.0000 0.0000 0.5000 Se
0.3210 0.3210 0.1600 Se
0.3335 0.3335 0.6378 Se
0.5000 0.5000 0.0000 Se
0.6665 0.6665 0.3622 Se
0.6790 0.6790 0.8400 Se
```

Values from the calculation:
**Polymorph energy (0 for the lowest one)**: 50.8 meV/atom
**Total magnetic moment**: 0.00 μB per cell
**SG**: C2/m (12)
**Energy**: -46.39 eV per cell
**V**: 28.23 A^3/atom
**ρ**: 5.9 Mg/m³


A plane-wave DFT calculation with PBE-GGA was carried out for a relaxed structure of LuCdCuSb.

```
LuCdCuSb
1.0
0.0000 3.5184 3.5184
3.5184 0.0000 3.5184
3.5184 3.5184 0.0000
Lu Cd Cu Sb
1 1 1 1
Direct
0.0000 0.0000 0.0000 Lu
0.2500 0.2500 0.2500 Cd
0.7500 0.7500 0.7500 Cu
0.5000 0.5000 0.5000 Sb
```

Values from the calculation:
**Polymorph energy (0 for the lowest one)**: 29.1 meV/atom
**Total magnetic moment**: 0.00 μB per cell
**SG**: F-43m (216)
**Energy**: -13.47 eV per cell
**V**: 21.78 A^3/atom
**ρ**: 9.0 Mg/m³